{"formula": "SmHo2F11", "functional": "PBE-GGA", "state": "optimized geometry", "cell": [[7.4112, 0.0000, 3.8629], [3.3629, 7.6064, 2.5890], [0.1732, 0.0199, 8.7085]], "species": ["Sm", "Sm", "Ho", "Ho", "Ho", "Ho", "F", "F", "F", "F", "F", "F", "F", "F", "F", "F", "F", "F", "F", "F", "F", "F", "F", "F", "F", "F", "F", "F"], "frac_coords": [[0.7500, 0.7500, 0.7500], [0.2500, 0.2500, 0.2500], [0.6575, 0.6889, 0.3111], [0.3425, 0.3111, 0.6889], [0.8425, 0.1889, 0.8111], [0.1575, 0.8111, 0.1889], [0.6581, 0.7092, 0.5545], [0.3419, 0.2908, 0.4455], [0.0782, 0.5545, 0.7092], [0.8419, 0.9455, 0.7908], [0.9218, 0.4455, 0.2908], [0.1581, 0.0545, 0.2092], [0.4218, 0.7908, 0.9455], [0.5782, 0.2092, 0.0545], [0.5000, 0.5000, 0.5000], [0.0000, 0.0000, 0.0000], [0.8902, 0.8042, 0.1958], [0.1098, 0.1958, 0.8042], [0.6098, 0.3042, 0.6958], [0.3902, 0.6958, 0.3042], [0.4634, 0.9679, 0.3140], [0.5366, 0.0321, 0.6860], [0.2547, 0.3140, 0.9679], [0.0366, 0.1860, 0.5321], [0.7453, 0.6860, 0.0321], [0.9634, 0.8140, 0.4679], [0.2453, 0.5321, 0.1860], [0.7547, 0.4679, 0.8140]], "e_form_raw_ev_per_atom": -3.45, "magmom_total_mub_per_atom": 0.151, "space_group": "Ibam, No. 72"}